The following is a GGA-PBE calculation of a relaxed structure of Ce3Mg2Ir3, from the Alexandria database.

The structure in POSCAR format:
```
Ce3Mg2Ir3
1.0
8.218 0.000 0.000
-4.109 7.117 0.000
0.000 0.000 5.828
Ce Mg Ir
6 4 6
Cartesian
-1.102 1.909 1.457 Ce
-3.007 5.208 4.371 Ce
2.205 0.000 1.457 Ce
1.102 1.909 4.371 Ce
6.014 0.000 4.371 Ce
3.007 5.208 1.457 Ce
0.000 4.745 0.000 Mg
0.000 4.745 2.914 Mg
4.109 2.372 0.000 Mg
4.109 2.372 2.914 Mg
-1.577 2.732 4.371 Ir
-2.532 4.385 1.457 Ir
3.155 0.000 4.371 Ir
1.577 2.732 1.457 Ir
5.064 0.000 1.457 Ir
2.532 4.385 4.371 Ir
```

Properties
- E_tot (eV per atom) = -6.587
- E_form (eV per formula unit) = -5.12

The following is a GGA-PBE calculation of a relaxed structure of Tc2GeP2, from the Alexandria database.

The structure in POSCAR format:
```
Tc2GeP2
1.0
7.026 0.000 0.000
0.000 7.026 0.000
0.000 0.000 2.928
Tc Ge P
4 2 4
Cartesian
1.052 2.461 0.000 Tc
2.461 5.974 0.000 Tc
4.565 1.052 0.000 Tc
5.974 4.565 0.000 Tc
0.000 0.000 0.000 Ge
3.513 3.513 0.000 Ge
0.966 4.479 1.464 P
2.547 0.966 1.464 P
4.479 6.060 1.464 P
6.060 2.547 1.464 P
```

Properties
- ΔE to the lowest computed polymorph (kJ/mol of formula units) = 8
- E_tot (eV per atom) = -7.353
- E_form (eV per formula unit) = -0.59

The following is a GGA-PBE calculation of a relaxed structure of FeSnOs, from the Alexandria database.

The structure in POSCAR format:
```
FeSnOs
1.0
2.998 0.000 0.000
0.000 3.739 0.000
0.000 0.000 8.416
Fe Sn Os
2 2 2
Cartesian
0.000 0.000 0.000 Fe
1.499 1.869 4.208 Fe
0.000 0.000 2.733 Sn
1.499 1.869 6.941 Sn
0.000 0.000 5.481 Os
1.499 1.869 1.273 Os
```

Properties
- E_tot (eV per atom) = -7.488
- E_form (eV per formula unit) = 1.23

The following is a GGA-PBE calculation of a relaxed structure of MoP, from the Alexandria database.

The structure in POSCAR format:
```
MoP
1.0
3.006 0.000 0.000
0.000 3.006 0.000
0.000 0.000 3.006
Mo P
1 1
Cartesian
0.000 0.000 0.000 Mo
1.503 1.503 1.503 P
```

Properties
- E_tot (eV per atom) = -8.475
- E_form (eV per formula unit) = -0.71

The following is a GGA-PBE calculation of a relaxed structure of Sr3SiNi, from the Alexandria database.

The structure in POSCAR format:
```
Sr3SiNi
1.0
5.526 0.000 0.000
0.000 5.526 0.000
0.000 0.000 5.526
Sr Si Ni
3 1 1
Cartesian
0.000 0.000 2.763 Sr
0.000 2.763 0.000 Sr
2.763 0.000 0.000 Sr
2.763 2.763 2.763 Si
0.000 0.000 0.000 Ni
```

Properties
- ΔE to the lowest computed polymorph (kJ/mol of formula units) = 98
- raw formation energy (meV per atom) = 148
- E_tot (eV per atom) = -3.102

The following is a GGA-PBE calculation of a relaxed structure of NdCo2Ni4, from the Alexandria database.

The structure in POSCAR format:
```
NdCo2Ni4
1.0
6.269 0.000 0.000
0.000 6.269 0.000
0.000 0.000 4.795
Nd Co Ni
2 4 8
Cartesian
0.000 0.000 0.000 Nd
3.135 3.135 2.397 Nd
0.000 3.135 1.199 Co
0.000 3.135 3.596 Co
3.135 0.000 1.199 Co
3.135 0.000 3.596 Co
1.218 1.218 2.397 Ni
1.218 5.052 2.397 Ni
1.917 1.917 0.000 Ni
1.917 4.353 0.000 Ni
4.353 1.917 0.000 Ni
4.353 4.353 0.000 Ni
5.052 1.218 2.397 Ni
5.052 5.052 2.397 Ni
```

Properties
- E_tot (eV per atom) = -6.105
- E_form (eV per formula unit) = -0.63

The following is a GGA-PBE calculation of a relaxed structure of KTl3Mo, from the Alexandria database.

The structure in POSCAR format:
```
KTl3Mo
1.0
5.965 0.000 0.000
0.000 5.965 0.000
0.000 0.000 5.965
K Tl Mo
1 3 1
Cartesian
0.000 0.000 0.000 K
0.000 0.000 2.982 Tl
0.000 2.982 0.000 Tl
2.982 0.000 0.000 Tl
2.982 2.982 2.982 Mo
```

Properties
- ΔE to the lowest computed polymorph (kJ/mol of formula units) = 604
- E_tot (eV per atom) = -2.259
- E_form (eV per formula unit) = 7.73

The following is a GGA-PBE calculation of a relaxed structure of TiAgF5, from the Alexandria database.

The structure in POSCAR format:
```
TiAgF5
1.0
3.939 0.000 0.000
0.000 6.977 0.000
0.000 0.000 8.447
Ti Ag F
2 2 10
Cartesian
0.000 0.000 0.000 Ti
1.970 3.488 4.224 Ti
0.000 0.000 4.224 Ag
1.970 3.488 0.000 Ag
0.000 0.000 1.852 F
0.000 0.000 6.595 F
0.000 1.877 0.000 F
0.000 3.488 4.224 F
0.000 5.100 0.000 F
1.970 0.000 0.000 F
1.970 1.612 4.224 F
1.970 3.488 2.372 F
1.970 3.488 6.075 F
1.970 5.365 4.224 F
```

Properties
- raw formation energy (meV per atom) = -2730
- E_tot (eV per atom) = -5.602

Among the records above, which one has the lowest E_tot? MoP

What is the E_tot in the sixth record? -6.105 eV per atom

Which formula does entry 8 have? TiAgF5